1.
{"formula": "PuZrGePd", "functional": "PBE", "state": "relaxed", "lattice": [[0.000, 3.463, 3.463], [3.463, 0.000, 3.463], [3.463, 3.463, 0.000]], "species": ["Pu", "Zr", "Ge", "Pd"], "fractional_positions": [[0.000, 0.000, 0.000], [0.500, 0.500, 0.500], [0.750, 0.750, 0.750], [0.250, 0.250, 0.250]], "space_group": "No. 216", "ef_ev_per_atom": -0.4131}

---

2.
{"formula": "CsAc3Ir", "functional": "PBE", "state": "relaxed", "lattice": [[6.077, 0.000, 0.000], [0.000, 6.077, 0.000], [0.000, 0.000, 6.077]], "species": ["Cs", "Ac", "Ac", "Ac", "Ir"], "fractional_positions": [[0.000, 0.000, 0.000], [0.000, 0.500, 0.500], [0.500, 0.000, 0.500], [0.500, 0.500, 0.000], [0.500, 0.500, 0.500]], "space_group": "No. 221", "ef_ev_per_atom": -0.1530}

---

3.
{"formula": "NdLuGeAu", "functional": "PBE", "state": "relaxed", "lattice": [[0.000, 3.623, 3.623], [3.623, 0.000, 3.623], [3.623, 3.623, 0.000]], "species": ["Nd", "Lu", "Ge", "Au"], "fractional_positions": [[0.000, 0.000, 0.000], [0.500, 0.500, 0.500], [0.750, 0.750, 0.750], [0.250, 0.250, 0.250]], "space_group": "No. 216", "ef_ev_per_atom": -0.7045}

---

4.
{"formula": "PrHo3Cd", "functional": "PBE", "state": "relaxed", "lattice": [[6.525, -1.846, 0.000], [6.525, 1.846, 0.000], [-0.748, 0.000, 12.581]], "species": ["Pr", "Pr", "Ho", "Ho", "Ho", "Ho", "Ho", "Ho", "Cd", "Cd"], "fractional_positions": [[0.235, 0.235, 0.252], [0.765, 0.765, 0.748], [0.036, 0.036, 0.688], [0.145, 0.145, 0.950], [0.366, 0.366, 0.523], [0.634, 0.634, 0.477], [0.855, 0.855, 0.050], [0.964, 0.964, 0.312], [0.449, 0.449, 0.873], [0.551, 0.551, 0.127]], "space_group": "No. 12", "ef_ev_per_atom": -0.1043}

---

5.
{"formula": "PrMg2Zn", "functional": "PBE", "state": "relaxed", "lattice": [[3.369, 0.000, 0.000], [0.000, 3.369, 0.000], [0.000, 0.000, 8.415]], "species": ["Pr", "Mg", "Mg", "Zn"], "fractional_positions": [[0.000, 0.000, 0.000], [0.500, 0.500, 0.304], [0.500, 0.500, 0.696], [0.000, 0.000, 0.500]], "space_group": "No. 123", "ef_ev_per_atom": -0.0842}

---

6.
{"formula": "LiSbNF2", "functional": "PBE", "state": "relaxed", "lattice": [[4.490, 0.000, 0.000], [0.000, 4.490, 0.000], [0.000, 0.000, 4.042]], "species": ["Li", "Sb", "N", "F", "F"], "fractional_positions": [[0.000, 0.000, 0.000], [0.500, 0.500, 0.500], [0.500, 0.500, 0.000], [0.000, 0.500, 0.500], [0.500, 0.000, 0.500]], "space_group": "No. 123", "raw_formation_energy_mev_per_atom": -1004}

---

7.
{"formula": "RbHg2Pt", "functional": "PBE", "state": "relaxed", "lattice": [[2.384, 1.377, 6.241], [-2.384, 1.377, 6.241], [0.000, -2.753, 6.241]], "species": ["Rb", "Hg", "Hg", "Pt"], "fractional_positions": [[0.000, 0.000, 0.000], [0.204, 0.204, 0.204], [0.796, 0.796, 0.796], [0.500, 0.500, 0.500]], "space_group": "No. 166", "ef_ev_per_atom": -0.1501}

---

8.
{"formula": "CoHIrPd2", "functional": "PBE", "state": "relaxed", "lattice": [[3.887, 0.000, 0.000], [0.000, 3.887, 0.000], [0.000, 0.000, 3.917]], "species": ["Co", "H", "Ir", "Pd", "Pd"], "fractional_positions": [[0.000, 0.000, 0.000], [0.000, 0.000, 0.500], [0.500, 0.500, 0.000], [0.000, 0.500, 0.500], [0.500, 0.000, 0.500]], "space_group": "No. 123", "dft_energy_ha_per_atom": -0.211}

---

9.
{"formula": "U2GaSi3Pt4", "functional": "PBE", "state": "relaxed", "lattice": [[4.166, 0.000, 0.000], [0.000, 4.166, 0.000], [0.000, 0.000, 10.187]], "species": ["U", "U", "Ga", "Si", "Si", "Si", "Pt", "Pt", "Pt", "Pt"], "fractional_positions": [[0.000, 0.500, 0.249], [0.500, 0.000, 0.751], [0.000, 0.000, 0.500], [0.000, 0.500, 0.867], [0.500, 0.000, 0.133], [0.500, 0.500, 0.500], [0.000, 0.000, 0.000], [0.000, 0.500, 0.635], [0.500, 0.000, 0.365], [0.500, 0.500, 0.000]], "space_group": "No. 115", "raw_formation_energy_mev_per_atom": -745}

---

10.
{"formula": "DyY2Ho3Bi6", "functional": "PBE", "state": "relaxed", "lattice": [[9.742, -2.235, 0.000], [9.742, 2.235, 0.000], [-2.042, 0.000, 8.707]], "species": ["Dy", "Y", "Y", "Ho", "Ho", "Ho", "Bi", "Bi", "Bi", "Bi", "Bi", "Bi"], "fractional_positions": [[0.000, 0.000, 0.000], [0.333, 0.333, 0.666], [0.667, 0.667, 0.334], [0.000, 0.000, 0.500], [0.333, 0.333, 0.166], [0.667, 0.667, 0.834], [0.166, 0.166, 0.585], [0.167, 0.167, 0.082], [0.499, 0.499, 0.250], [0.501, 0.501, 0.750], [0.833, 0.833, 0.918], [0.834, 0.834, 0.415]], "space_group": "No. 12", "ef_ev_per_atom": -0.8609}

---

11.
{"formula": "Ca2TaOs", "functional": "PBE", "state": "relaxed", "lattice": [[0.000, 3.526, 3.526], [3.526, 0.000, 3.526], [3.526, 3.526, 0.000]], "species": ["Ca", "Ca", "Ta", "Os"], "fractional_positions": [[0.250, 0.250, 0.250], [0.750, 0.750, 0.750], [0.000, 0.000, 0.000], [0.500, 0.500, 0.500]], "space_group": "No. 225", "ef_ev_per_atom": 1.1467}

---

12.
{"formula": "CePuGe2", "functional": "PBE", "state": "relaxed", "lattice": [[0.000, 3.592, 3.592], [3.592, 0.000, 3.592], [3.592, 3.592, 0.000]], "species": ["Ce", "Pu", "Ge", "Ge"], "fractional_positions": [[0.000, 0.000, 0.000], [0.500, 0.500, 0.500], [0.250, 0.250, 0.250], [0.750, 0.750, 0.750]], "space_group": "No. 225", "ef_ev_per_atom": -0.4552}

---

13.
{"formula": "RbTaAsSe2", "functional": "PBE", "state": "relaxed", "lattice": [[5.417, 0.000, 0.000], [0.000, 5.417, 0.000], [0.000, 0.000, 5.296]], "species": ["Rb", "Ta", "As", "Se", "Se"], "fractional_positions": [[0.000, 0.000, 0.000], [0.500, 0.500, 0.500], [0.000, 0.000, 0.500], [0.000, 0.500, 0.000], [0.500, 0.000, 0.000]], "space_group": "No. 123", "raw_formation_energy_mev_per_atom": 2135}

---

14.
{"formula": "La2VSi2", "functional": "PBE", "state": "relaxed", "lattice": [[7.209, 0.000, 0.000], [0.000, 7.209, 0.000], [0.000, 0.000, 4.564]], "species": ["La", "La", "La", "La", "V", "V", "Si", "Si", "Si", "Si"], "fractional_positions": [[0.179, 0.321, 0.000], [0.321, 0.821, 0.000], [0.679, 0.179, 0.000], [0.821, 0.679, 0.000], [0.000, 0.000, 0.500], [0.500, 0.500, 0.500], [0.120, 0.620, 0.500], [0.380, 0.120, 0.500], [0.620, 0.880, 0.500], [0.880, 0.380, 0.500]], "space_group": "No. 127", "raw_formation_energy_mev_per_atom": -437}